Material: Hf3Be2P
Method: DFT, PBE
State: optimized geometry

Cell lengths 3.550, 10.272, 10.419 Å; angles 90.00, 90.00, 90.00 degrees
Positions (direct):
Be  0.250  0.813  0.971
Be  0.250  0.998  0.301
Be  0.750  0.313  0.529
Be  0.750  0.498  0.199
Be  0.250  0.687  0.471
Be  0.750  0.187  0.029
Be  0.750  0.002  0.699
Be  0.250  0.502  0.801
P  0.250  0.126  0.132
P  0.750  0.626  0.368
P  0.250  0.374  0.632
P  0.750  0.874  0.868
Hf  0.250  0.066  0.885
Hf  0.750  0.934  0.115
Hf  0.750  0.620  0.947
Hf  0.750  0.566  0.615
Hf  0.750  0.301  0.802
Hf  0.250  0.120  0.553
Hf  0.250  0.699  0.198
Hf  0.250  0.434  0.385
Hf  0.250  0.801  0.698
Hf  0.250  0.380  0.053
Hf  0.750  0.199  0.302
Hf  0.750  0.880  0.447

Summary:
* total magnetic moment: 0.00 μB per formula unit
* calculated density: 10.2 g/cm³
* DOS at the Fermi energy: 4.11 states/eV/f.u.
* DFT formation energy: -531 meV per atom